# Rb2NdScS4

An optimized crystal structure of Rb2NdScS4 (GGA-PBE, Alexandria).

abc: 7.0198 4.0581 8.0210
angles: 90.00 106.95 90.00
Sites, in units of the cell vectors:
Rb 0.0000 0.0000 0.0000
Rb 0.5000 0.5000 0.0000
Nd 0.0000 0.5000 0.5000
Sc 0.5000 0.0000 0.5000
S 0.2506 0.0000 0.6933
S 0.2884 0.5000 0.3139
S 0.7116 0.5000 0.6861
S 0.7494 0.0000 0.3067

Results
The volume is 27.3 Å³ per atom. As for the formation energy without anion corrections: -1.742 eV/atom. The spin magnetization comes out at 0.000 μB per atom. The space-group type is P2/m (10).


# La2TbGa4

An optimized crystal structure of La2TbGa4 (GGA-PBE, Alexandria).

abc: 10.0398 10.0398 10.0398
angles: 155.70 154.93 35.20
Sites, in units of the cell vectors:
La 0.1844 0.1844 0.0000
La 0.8156 0.8156 0.0000
Tb 0.0000 0.5000 0.5000
Ga 0.3639 0.3639 0.0000
Ga 0.4365 0.9365 0.5000
Ga 0.5635 0.0635 0.5000
Ga 0.6361 0.6361 0.0000

Results
The volume is 25.2 Å³ per atom. The spin magnetization comes out at 0.014 μB per atom. The formation energy from the elements is -611 meV/atom. The space-group type is Immm (71).


# Tm5CS4

An optimized crystal structure of Tm5CS4 (GGA-PBE, Alexandria).

abc: 13.7494 13.7494 13.7494
angles: 164.16 164.16 22.48
Sites, in units of the cell vectors:
Tm 0.0000 0.0000 0.0000
Tm 0.2027 0.2027 0.0000
Tm 0.4131 0.4131 0.0000
Tm 0.5869 0.5869 0.0000
Tm 0.7973 0.7973 0.0000
C 0.5000 0.5000 0.0000
S 0.1006 0.1006 0.0000
S 0.3043 0.3043 0.0000
S 0.6957 0.6957 0.0000
S 0.8994 0.8994 0.0000

Results
The volume is 19.4 Å³ per atom. As for the formation energy without anion corrections: -1.661 eV/atom. The spin magnetization comes out at 0.000 μB per atom. The space-group type is I4/mmm (139).


# Bi2N2Cl

An optimized crystal structure of Bi2N2Cl (GGA-PBE, Alexandria).

abc: 4.2321 6.5304 7.9853
angles: 92.65 104.79 107.32
Sites, in units of the cell vectors:
Bi 0.2188 0.0595 0.3784
Bi 0.7812 0.9405 0.6216
N 0.4793 0.4118 0.9866
N 0.5207 0.5882 0.0134
Cl 0.5000 0.5000 0.5000

Results
The volume is 40.4 Å³ per atom. As for the formation energy without anion corrections: -0.052 eV/atom. The spin magnetization comes out at 0.000 μB per atom. The space-group type is P-1 (2).


# Tl2Sb4PbAu3

An optimized crystal structure of Tl2Sb4PbAu3 (GGA-PBE, Alexandria).

abc: 4.9079 4.9079 11.8226
angles: 90.00 90.00 90.00
Sites, in units of the cell vectors:
Tl 0.0000 0.5000 0.2440
Tl 0.5000 0.0000 0.7560
Sb 0.0000 0.0000 0.0000
Sb 0.0000 0.5000 0.6474
Sb 0.5000 0.0000 0.3526
Sb 0.5000 0.5000 0.0000
Pb 0.0000 0.0000 0.5000
Au 0.0000 0.5000 0.8776
Au 0.5000 0.0000 0.1224
Au 0.5000 0.5000 0.5000

Results
The volume is 28.5 Å³ per atom. As for the formation energy without anion corrections: 0.004 eV/atom. The spin magnetization comes out at 0.000 μB per atom. The space-group type is P-4m2 (115).


# B5C

An optimized crystal structure of B5C (GGA-PBE, Alexandria).

abc: 4.5922 4.5922 4.9441
angles: 96.58 96.58 119.70
Sites, in units of the cell vectors:
B 0.0000 0.0000 0.0000
B 0.0439 0.0439 0.6339
B 0.2704 0.8848 0.1965
B 0.3261 0.6764 0.6278
B 0.3604 0.3604 0.0850
B 0.5471 0.7836 0.0276
B 0.6764 0.3261 0.6278
B 0.7021 0.7021 0.7296
B 0.7836 0.5471 0.0276
B 0.8848 0.2704 0.1965
C 0.3225 0.9835 0.5264
C 0.9835 0.3225 0.5264

Results
The volume is 7.3 Å³ per atom. The spin magnetization comes out at 0.000 μB per atom. Its energy relative to the lowest polymorph listed for this composition is 97 meV per atom. The formation energy from the elements is 294 meV/atom. The space-group type is Cm (8).


# CeSmErAl

An optimized crystal structure of CeSmErAl (GGA-PBE, Alexandria).

abc: 5.3618 5.3618 5.3618
angles: 60.00 60.00 60.00
Sites, in units of the cell vectors:
Ce 0.0000 0.0000 0.0000
Sm 0.5000 0.5000 0.5000
Er 0.2500 0.2500 0.2500
Al 0.7500 0.7500 0.7500

Results
The volume is 27.2 Å³ per atom. The spin magnetization comes out at 0.144 μB per atom. The formation energy from the elements is -31 meV/atom. The space-group type is F-43m (216).


# K3TiB

An optimized crystal structure of K3TiB (GGA-PBE, Alexandria).

abc: 6.0037 6.0037 6.0037
angles: 90.00 90.00 90.00
Sites, in units of the cell vectors:
K 0.0000 0.0000 0.5000
K 0.0000 0.5000 0.0000
K 0.5000 0.0000 0.0000
Ti 0.5000 0.5000 0.5000
B 0.0000 0.0000 0.0000

Results
The volume is 43.3 Å³ per atom. The spin magnetization comes out at 0.059 μB per atom. Its energy relative to the lowest polymorph listed for this composition is 0 meV per atom. The formation energy from the elements is 1608 meV/atom. The space-group type is Pm-3m (221).


# La2YRu

An optimized crystal structure of La2YRu (GGA-PBE, Alexandria).

abc: 3.5125 3.5143 9.4790
angles: 90.00 90.07 90.00
Sites, in units of the cell vectors:
La 0.0000 0.0000 0.0000
La 0.4962 0.5000 0.3357
Y 0.4979 0.5000 0.6912
Ru 0.9963 0.0000 0.5192

Results
The volume is 29.3 Å³ per atom. The spin magnetization comes out at 0.000 μB per atom. Its energy relative to the lowest polymorph listed for this composition is 112 meV per atom. The formation energy from the elements is -131 meV/atom. The space-group type is Pm (6).


# Tl4PbAu4

An optimized crystal structure of Tl4PbAu4 (GGA-PBE, Alexandria).

abc: 7.8707 7.8707 7.9926
angles: 90.00 90.00 90.00
Sites, in units of the cell vectors:
Tl 0.0235 0.6768 0.1302
Tl 0.1768 0.9765 0.6302
Tl 0.3232 0.5235 0.6302
Tl 0.4765 0.8232 0.1302
Tl 0.5235 0.1768 0.8698
Tl 0.6768 0.4765 0.3698
Tl 0.8232 0.0235 0.3698
Tl 0.9765 0.3232 0.8698
Pb 0.2500 0.2500 0.2500
Pb 0.7500 0.7500 0.7500
Au 0.0045 0.3201 0.5068
Au 0.1799 0.0045 0.9932
Au 0.3201 0.4955 0.9932
Au 0.4955 0.1799 0.5068
Au 0.5045 0.8201 0.4932
Au 0.6799 0.5045 0.0068
Au 0.8201 0.9955 0.0068
Au 0.9955 0.6799 0.4932

Results
The volume is 27.5 Å³ per atom. The spin magnetization comes out at 0.000 μB per atom. The formation energy from the elements is 7 meV/atom. The space-group type is P4_2/n (86).


# Ce2SeBr2O

An optimized crystal structure of Ce2SeBr2O (GGA-PBE, Alexandria).

abc: 4.2468 5.9686 14.8969
angles: 90.00 90.00 90.00
Sites, in units of the cell vectors:
Ce 0.0000 0.1096 0.0000
Ce 0.0000 0.8904 0.5000
Ce 0.5000 0.2292 0.6545
Ce 0.5000 0.7708 0.1545
Se 0.5000 0.2814 0.1147
Se 0.5000 0.7186 0.6147
Br 0.0000 0.3116 0.8090
Br 0.0000 0.6884 0.3090
Br 0.5000 0.1944 0.4276
Br 0.5000 0.8056 0.9276
O 0.0000 0.1571 0.6004
O 0.0000 0.8429 0.1004

Results
The volume is 31.5 Å³ per atom. As for the formation energy without anion corrections: -2.199 eV/atom. The spin magnetization comes out at 0.333 μB per atom. The space-group type is Pmc2_1 (26).


# LiY2Tl8

An optimized crystal structure of LiY2Tl8 (GGA-PBE, Alexandria).

abc: 4.8424 4.8424 12.5219
angles: 90.00 90.00 90.00
Sites, in units of the cell vectors:
Li 0.0000 0.0000 0.0000
Y 0.0000 0.0000 0.3144
Y 0.0000 0.0000 0.6856
Tl 0.0000 0.5000 0.1294
Tl 0.0000 0.5000 0.5000
Tl 0.0000 0.5000 0.8706
Tl 0.5000 0.0000 0.1294
Tl 0.5000 0.0000 0.5000
Tl 0.5000 0.0000 0.8706
Tl 0.5000 0.5000 0.3125
Tl 0.5000 0.5000 0.6875

Results
The volume is 26.7 Å³ per atom. The spin magnetization comes out at 0.000 μB per atom. The formation energy from the elements is -193 meV/atom. The space-group type is P4/mmm (123).


Among the records above, which one has the highest volume? K3TiB


Please write out number 3 again, unchanged.
# Tm5CS4

An optimized crystal structure of Tm5CS4 (GGA-PBE, Alexandria).

abc: 13.7494 13.7494 13.7494
angles: 164.16 164.16 22.48
Sites, in units of the cell vectors:
Tm 0.0000 0.0000 0.0000
Tm 0.2027 0.2027 0.0000
Tm 0.4131 0.4131 0.0000
Tm 0.5869 0.5869 0.0000
Tm 0.7973 0.7973 0.0000
C 0.5000 0.5000 0.0000
S 0.1006 0.1006 0.0000
S 0.3043 0.3043 0.0000
S 0.6957 0.6957 0.0000
S 0.8994 0.8994 0.0000

Results
The volume is 19.4 Å³ per atom. As for the formation energy without anion corrections: -1.661 eV/atom. The spin magnetization comes out at 0.000 μB per atom. The space-group type is I4/mmm (139).